No. 1
## Rb3LaPb (meta-GGA SCAN)

Data for a PBEsol-optimized structure of Rb3LaPb.

Space group   Pm-3m, No. 221
Energy relative to the elements   0.8695 eV/atom
N(E_F)   0.86 states/eV per atom

```
data_Rb3LaPb
_chemical_formula_sum 'Rb3 La1 Pb1'
_cell_length_a 6.634
_cell_length_b 6.634
_cell_length_c 6.634
_cell_angle_alpha 90.00
_cell_angle_beta 90.00
_cell_angle_gamma 90.00
_space_group_name_H-M_alt 'P 1'
_space_group_IT_number 1
_space_group_name_Hall 'P 1'
loop_
_atom_site_label
_atom_site_type_symbol
_atom_site_fract_x
_atom_site_fract_y
_atom_site_fract_z
_atom_site_occupancy
Pb1 Pb 0.500 0.500 0.500 1
Rb1 Rb 0.000 0.500 0.000 1
Rb2 Rb 0.000 0.000 0.500 1
Rb3 Rb 0.500 0.000 0.000 1
La1 La 0.000 0.000 0.000 1
```

---

No. 2
## LaRe2Pb (meta-GGA SCAN)

Data for a PBEsol-optimized structure of LaRe2Pb.

Space group   P2/m, No. 10
Energy relative to the elements   0.7111 eV/atom
N(E_F)   0.73 states/eV per atom

```
data_LaRe2Pb
_chemical_formula_sum 'La1 Re2 Pb1'
_cell_length_a 3.197
_cell_length_b 4.908
_cell_length_c 5.735
_cell_angle_alpha 90.00
_cell_angle_beta 90.76
_cell_angle_gamma 90.00
_space_group_name_H-M_alt 'P 1'
_space_group_IT_number 1
_space_group_name_Hall 'P 1'
loop_
_atom_site_label
_atom_site_type_symbol
_atom_site_fract_x
_atom_site_fract_y
_atom_site_fract_z
_atom_site_occupancy
La1 La 0.500 0.500 0.000 1
Pb1 Pb 0.000 0.500 0.500 1
Re1 Re 0.991 0.000 0.801 1
Re2 Re 0.009 0.000 0.199 1
```